VASP calculation (GGA-PBE) on crystalline Ac4Al3Si at its relaxed geometry.

The crystal system is orthorhombic. The total energy comes out at -4.526 eV/atom. For the formation energy from raw total energies, the calculation gives -38 kJ/mol of atoms. Its volume is 250.7 Å³/cell.

The structure belongs to space group Pmm2 (No. 25); the cell edges are 4.321, 4.786 and 12.121 Å and the angles 90.00°, 90.00° and 90.00°. Symmetry generates all atoms from Ac at (0.000, 0.000, 0.000), Ac at (0.000, 0.500, 0.493), Ac at (0.500, 0.000, 0.708), Ac at (0.500, 0.500, 0.211), Al at (0.000, 0.500, 0.789), Al at (0.500, 0.000, 0.410), Al at (0.500, 0.500, 0.918) and Si at (0.000, 0.000, 0.286).

---

VASP calculation (GGA-PBE) on crystalline Pu2Re3B4 at its relaxed geometry.

The crystal system is monoclinic. The total energy comes out at -10.534 eV/atom. The value obtained for the formation energy is -232 meV/atom. Its volume is 228.0 Å³/cell.

The structure belongs to space group P2_1/c (No. 14); the cell edges are 6.279, 6.322 and 6.056 Å and the angles 90.00°, 108.47° and 90.00°. Symmetry generates all atoms from Pu at (0.185, 0.165, 0.070), Re at (0.252, 0.669, 0.255), Re at (0.500, 0.000, 0.500), B at (0.086, 0.541, 0.890) and B at (0.496, 0.622, 0.624).

---

VASP calculation (GGA-PBE) on crystalline ScSnAu2 at its relaxed geometry.

The crystal system is orthorhombic. The total energy comes out at -4.793 eV/atom. The value obtained for the formation energy is -571 meV/atom. Its volume is 161.6 Å³/cell.

The structure belongs to space group Pmmn (No. 59, origin choice 2); the cell edges are 5.120, 6.166 and 5.119 Å and the angles 90.00°, 90.00° and 90.00°. Symmetry generates all atoms from Sc at (0.250, 0.250, 0.250), Sn at (0.250, 0.750, 0.250) and Au at (0.250, 0.000, 0.749).

---

VASP calculation (GGA-PBE) on crystalline Tb6ErS8 at its relaxed geometry.

The crystal system is cubic. The total energy comes out at -6.418 eV/atom. For the formation energy from raw total energies, the calculation gives -199 kJ/mol of atoms. Its volume is 1359.3 Å³/cell.

The structure belongs to space group Fm-3m (No. 225); the cell edges are 11.077, 11.077 and 11.077 Å and the angles 90.00°, 90.00° and 90.00°. Symmetry generates all atoms from Tb at (0.000, 0.250, 0.250), Er at (0.000, 0.000, 0.000), S at (0.000, 0.000, 0.248) and S at (0.250, 0.250, 0.250).